# Er9Tm11Sc4 GGA-PBE optimized geometry
# Total energy = -229.15 eV for the cell shown
# N(E_F) = 65.949 states/eV per cell
# Formation energy from the elements = 42 meV/atom
# M_tot = 0.00 μB per atom
data_Er9Tm11Sc4
_symmetry_space_group_name_H-M 'C m m m'
_symmetry_Int_Tables_number 65
_symmetry_space_group_name_Hall '-C 2 2'
_cell_length_a 16.2562
_cell_length_b 24.5644
_cell_length_c 3.5542
_cell_angle_alpha 90.00
_cell_angle_beta 90.00
_cell_angle_gamma 90.00
loop_
_atom_site_label
_atom_site_type_symbol
_atom_site_fract_x
_atom_site_fract_y
_atom_site_fract_z
_atom_site_occupancy
Er1 Er 0.0000 0.0000 0.0000 1
Er2 Er 0.1029 0.2318 0.0000 1
Er3 Er 0.1449 0.4278 0.0000 1
Tm1 Tm 0.0000 0.1302 0.5000 1
Tm2 Tm 0.0000 0.3406 0.5000 1
Tm3 Tm 0.0000 0.5000 0.5000 1
Tm4 Tm 0.2027 0.0000 0.5000 1
Tm5 Tm 0.2270 0.3197 0.5000 1
Sc1 Sc 0.1551 0.1013 0.0000 1

# Ce2Nd3In3 GGA-PBE optimized geometry
# Total energy = -73.84 eV for the cell shown
# N(E_F) = 30.591 states/eV per cell
# Formation energy from the elements = -316 meV/atom
# M_tot = 0.23 μB per atom
data_Ce2Nd3In3
_symmetry_space_group_name_H-M 'I m m m'
_symmetry_Int_Tables_number 71
_symmetry_space_group_name_Hall '-I 2 2'
_cell_length_a 4.5576
_cell_length_b 4.9306
_cell_length_c 20.8069
_cell_angle_alpha 90.00
_cell_angle_beta 90.00
_cell_angle_gamma 90.00
loop_
_atom_site_label
_atom_site_type_symbol
_atom_site_fract_x
_atom_site_fract_y
_atom_site_fract_z
_atom_site_occupancy
Ce1 Ce 0.0000 0.0000 0.2436 1
Nd1 Nd 0.0000 0.0000 0.0000 1
Nd2 Nd 0.0000 0.5000 0.1210 1
In1 In 0.0000 0.0000 0.5000 1
In2 In 0.0000 0.5000 0.3724 1

# La4Sb3Br2 GGA-PBE optimized geometry
# Total energy = -95.87 eV for the cell shown
# N(E_F) = 7.078 states/eV per cell
# Raw formation energy = -1.39 eV per atom
# M_tot = 0.00 μB per atom
data_La4Sb3Br2
_symmetry_space_group_name_H-M 'C 1 2/m 1'
_symmetry_Int_Tables_number 12
_symmetry_space_group_name_Hall '-C 2y'
_cell_length_a 15.2487
_cell_length_b 4.5648
_cell_length_c 11.5489
_cell_angle_alpha 90.00
_cell_angle_beta 122.70
_cell_angle_gamma 90.00
loop_
_atom_site_label
_atom_site_type_symbol
_atom_site_fract_x
_atom_site_fract_y
_atom_site_fract_z
_atom_site_occupancy
La1 La 0.1003 0.0000 0.4031 1
La2 La 0.2146 0.5000 0.7887 1
Sb1 Sb 0.0000 0.5000 0.5000 1
Sb2 Sb 0.1845 0.5000 0.2890 1
Br1 Br 0.1228 0.0000 0.8869 1